Er2LuGa (PBE-GGA, optimized geometry); DFT total energy = -4.41 eV/atom; space-group type = P4/mmm, No. 123; DOS(E_F) = 4.536 states/eV/f.u.; energy above the most stable polymorph in this dataset = 0.0362 eV/atom
1.0
-2.4167 -3.8729 0.8689
3.9271 -2.1594 1.2976
-0.6777 1.4091 4.3959
Lu Ga Er
1 1 2
Cartesian
0.4164 -2.3116 3.2812
-1.2083 -1.9365 0.4344
-0.3388 0.7046 2.1979
1.9635 -1.0797 0.6488

Er2LuGa (PBE-GGA, optimized geometry); DFT total energy = -4.04 eV/atom; space-group type = R-3m, No. 166; DOS(E_F) = 4.131 states/eV/f.u.; energy above the most stable polymorph in this dataset = 0.4103 eV/atom
1.0
-0.2315 -3.4303 0.0764
2.7357 -1.8888 0.8802
-2.3864 -1.3105 11.3224
Lu Ga Er
1 1 2
Cartesian
0.0589 -3.3148 6.1396
0.0000 0.0000 0.0000
-1.5531 -1.4301 8.4758
1.6709 -5.1995 3.8033

ErLuGaNi (PBE-GGA, optimized geometry); DFT total energy = -4.96 eV/atom; space-group type = F-43m, No. 216; DOS(E_F) = 3.818 states/eV/f.u.
1.0
4.8547 0.0000 0.0000
2.4273 4.2043 0.0000
2.4273 1.4014 3.9638
Ni Lu Ga Er
1 1 1 1
Cartesian
2.4273 1.4014 0.9910
4.8547 2.8028 1.9819
7.2820 4.2043 2.9729
0.0000 0.0000 0.0000

ErLuGaOs (PBE-GGA, optimized geometry); DFT total energy = -6.25 eV/atom; space-group type = F-43m, No. 216; DOS(E_F) = 2.948 states/eV/f.u.
1.0
-4.5349 -1.3637 1.0442
-1.3237 -0.6871 4.6142
-3.0368 3.1160 2.1410
Lu Os Ga Er
1 1 1 1
Cartesian
-4.4477 0.5326 3.8997
-2.2238 0.2663 1.9498
-6.6715 0.7989 5.8495
0.0000 0.0000 0.0000

ErLuGaPb (PBE-GGA, optimized geometry); DFT total energy = -4.33 eV/atom; space-group type = F-43m, No. 216; DOS(E_F) = 3.571 states/eV/f.u.
1.0
5.2139 0.0000 0.0000
2.6070 4.5154 0.0000
2.6070 1.5051 4.2572
Pb Lu Ga Er
1 1 1 1
Cartesian
7.8209 4.5154 3.1929
5.2139 3.0103 2.1286
2.6070 1.5051 1.0643
0.0000 0.0000 0.0000

ErLuGaPd (PBE-GGA, optimized geometry); DFT total energy = -5.06 eV/atom; space-group type = F-43m, No. 216; DOS(E_F) = 3.506 states/eV/f.u.
1.0
4.9461 0.0000 0.0000
2.4730 4.2834 0.0000
2.4730 1.4278 4.0384
Lu Ga Pd Er
1 1 1 1
Cartesian
4.9461 2.8556 2.0192
2.4730 1.4278 1.0096
7.4191 4.2834 3.0288
0.0000 0.0000 0.0000

PmErLuGa (PBE-GGA, optimized geometry); DFT total energy = -4.32 eV/atom; space-group type = F-43m, No. 216; DOS(E_F) = 6.360 states/eV/f.u.
1.0
-2.4677 4.1089 2.2921
-4.9568 -0.5618 1.8279
-0.9135 -0.0334 5.2337
Lu Pm Ga Er
1 1 1 1
Cartesian
-6.2535 2.6353 7.0152
0.0000 0.0000 0.0000
-2.0845 0.8784 2.3384
-4.1690 1.7569 4.6768

ErLuGaRu (PBE-GGA, optimized geometry); DFT total energy = -5.85 eV/atom; space-group type = F-43m, No. 216; DOS(E_F) = 2.568 states/eV/f.u.
1.0
4.8557 0.0000 0.0000
2.4278 4.2051 0.0000
2.4278 1.4017 3.9646
Ru Lu Ga Er
1 1 1 1
Cartesian
0.0000 0.0000 0.0000
2.4278 1.4017 0.9912
4.8557 2.8034 1.9823
7.2835 4.2051 2.9735